Entry 1:
Computed, not measured: a relaxed Gd2PuBi crystal at the PBE-GGA level of DFT.

Output
Magnetic moment: 21.70 μB/f.u.
Energy of formation from the pure elements: -7.38 kcal/mol of atoms

Unit cell a=4.974 b=4.974 c=4.692 alpha=90.00 beta=90.00 gamma=90.00
Fractional positions:
Gd (0.000, 0.500, 0.000)
Gd (0.500, 0.000, 0.000)
Pu (0.000, 0.000, 0.500)
Bi (0.500, 0.500, 0.500)


Entry 2:
Computed, not measured: a relaxed Tm2BeNiPt6 crystal at the PBE-GGA level of DFT.

Output
Magnetic moment: 0.49 μB/f.u.
Energy of formation from the pure elements: -16.80 kcal/mol of atoms

Unit cell a=5.494 b=5.494 c=7.662 alpha=110.99 beta=110.99 gamma=60.09
Fractional positions:
Tm (0.202, 0.202, 0.107)
Tm (0.798, 0.798, 0.893)
Be (0.000, 0.000, 0.500)
Ni (0.500, 0.500, 0.000)
Pt (0.242, 0.739, 0.724)
Pt (0.243, 0.243, 0.724)
Pt (0.261, 0.758, 0.276)
Pt (0.739, 0.242, 0.724)
Pt (0.757, 0.757, 0.276)
Pt (0.758, 0.261, 0.276)


Entry 3:
Computed, not measured: a relaxed Tb2HPtO6 crystal at the PBE-GGA level of DFT.

Output
Magnetic moment: 0.60 μB/f.u.

Unit cell a=5.524 b=5.524 c=5.208 alpha=115.56 beta=115.56 gamma=54.30
Fractional positions:
Tb (0.240, 0.240, 0.215)
Tb (0.760, 0.760, 0.785)
H (0.500, 0.500, 0.000)
Pt (0.000, 0.000, 0.500)
O (0.199, 0.670, 0.172)
O (0.231, 0.231, 0.634)
O (0.330, 0.801, 0.828)
O (0.670, 0.199, 0.172)
O (0.769, 0.769, 0.366)
O (0.801, 0.330, 0.828)


Entry 4:
Computed, not measured: a relaxed YCdAs2 crystal at the PBE-GGA level of DFT.

Output
Magnetic moment: 0.00 μB/f.u.
Energy of formation from the pure elements: -12.90 kcal/mol of atoms

Unit cell a=6.000 b=6.000 c=6.000 alpha=140.12 beta=140.12 gamma=57.67
Fractional positions:
Y (0.000, 0.000, 0.000)
Cd (0.750, 0.250, 0.500)
As (0.250, 0.750, 0.500)
As (0.500, 0.500, 0.000)


Entry 5:
Computed, not measured: a relaxed Hf2NbAl crystal at the PBE-GGA level of DFT.

Output
Magnetic moment: 0.00 μB/f.u.
Energy of formation from the pure elements: 0.05 kcal/mol of atoms

Unit cell a=9.692 b=9.692 c=9.692 alpha=18.62 beta=18.62 gamma=18.62
Fractional positions:
Hf (0.250, 0.250, 0.250)
Hf (0.750, 0.750, 0.750)
Nb (0.000, 0.000, 0.000)
Al (0.500, 0.500, 0.500)


Entry 6:
Computed, not measured: a relaxed Pr3Y2Ag2 crystal at the PBE-GGA level of DFT.

Output
Magnetic moment: 0.00 μB/f.u.
Energy of formation from the pure elements: -2.66 kcal/mol of atoms

Unit cell a=6.811 b=6.811 c=9.393 alpha=113.66 beta=113.66 gamma=32.71
Fractional positions:
Pr (0.000, 0.000, 0.000)
Pr (0.109, 0.109, 0.444)
Pr (0.891, 0.891, 0.556)
Y (0.350, 0.350, 0.186)
Y (0.650, 0.650, 0.814)
Ag (0.324, 0.324, 0.780)
Ag (0.676, 0.676, 0.220)


Entry 7:
Computed, not measured: a relaxed HgOs3W crystal at the PBE-GGA level of DFT.

Output
Magnetic moment: 0.00 μB/f.u.
Energy of formation from the pure elements: 51.26 kcal/mol of atoms

Unit cell a=4.745 b=4.745 c=4.745 alpha=90.00 beta=90.00 gamma=90.00
Fractional positions:
Hg (0.000, 0.000, 0.000)
Os (0.000, 0.500, 0.500)
Os (0.500, 0.000, 0.500)
Os (0.500, 0.500, 0.000)
W (0.500, 0.500, 0.500)


Entry 8:
Computed, not measured: a relaxed Pm2HoTm crystal at the PBE-GGA level of DFT.

Output
Magnetic moment: 0.00 μB/f.u.
Energy of formation from the pure elements: 0.50 kcal/mol of atoms

Unit cell a=5.083 b=5.083 c=5.008 alpha=90.00 beta=90.00 gamma=90.00
Fractional positions:
Pm (0.000, 0.500, 0.000)
Pm (0.500, 0.000, 0.000)
Ho (0.000, 0.000, 0.500)
Tm (0.500, 0.500, 0.500)


Entry 9:
Computed, not measured: a relaxed TlHO crystal at the PBE-GGA level of DFT.

Output
Magnetic moment: 0.00 μB/f.u.

Unit cell a=4.289 b=4.289 c=4.289 alpha=122.88 beta=122.88 gamma=85.08
Fractional positions:
Tl (0.000, 0.000, 0.000)
H (0.430, 0.430, 0.000)
O (0.584, 0.584, 0.000)


Entry 10:
Computed, not measured: a relaxed BaNa2MgBe crystal at the PBE-GGA level of DFT.

Output
Magnetic moment: 0.00 μB/f.u.
Energy of formation from the pure elements: 18.59 kcal/mol of atoms

Unit cell a=5.718 b=5.718 c=6.758 alpha=90.00 beta=90.00 gamma=90.00
Fractional positions:
Ba (0.000, 0.000, 0.000)
Na (0.000, 0.500, 0.500)
Na (0.500, 0.000, 0.500)
Mg (0.000, 0.000, 0.500)
Be (0.500, 0.500, 0.000)


Entry 11:
Computed, not measured: a relaxed Er4MgRu2 crystal at the PBE-GGA level of DFT.

Output
Magnetic moment: 0.00 μB/f.u.
Energy of formation from the pure elements: -5.39 kcal/mol of atoms

Unit cell a=6.716 b=6.858 c=7.997 alpha=87.25 beta=67.78 gamma=86.65
Fractional positions:
Er (0.000, 0.000, 0.000)
Er (0.011, 0.452, 0.119)
Er (0.271, 0.422, 0.495)
Er (0.308, 0.954, 0.541)
Er (0.458, 0.881, 0.090)
Er (0.534, 0.359, 0.050)
Er (0.745, 0.310, 0.562)
Er (0.860, 0.838, 0.441)
Mg (0.404, 0.631, 0.775)
Mg (0.889, 0.647, 0.803)
Ru (0.148, 0.146, 0.287)
Ru (0.351, 0.204, 0.821)
Ru (0.622, 0.636, 0.312)
Ru (0.650, 0.139, 0.289)


Entry 12:
Computed, not measured: a relaxed Mg2SbRh2 crystal at the PBE-GGA level of DFT.

Output
Magnetic moment: 0.00 μB/f.u.
ΔE_f (raw): -466 meV/atom

Unit cell a=4.461 b=4.461 c=5.445 alpha=90.20 beta=90.20 gamma=59.97
Fractional positions:
Mg (0.166, 0.166, 0.362)
Mg (0.834, 0.834, 0.638)
Sb (0.500, 0.500, 0.000)
Rh (0.166, 0.166, 0.863)
Rh (0.834, 0.834, 0.137)


Entry 13:
Computed, not measured: a relaxed Na2Ge2As crystal at the PBE-GGA level of DFT.

Output
Magnetic moment: 0.00 μB/f.u.
Energy of formation from the pure elements: -1.10 kcal/mol of atoms

Unit cell a=5.438 b=5.438 c=9.344 alpha=105.36 beta=105.36 gamma=62.68
Fractional positions:
Na (0.037, 0.238, 0.164)
Na (0.238, 0.037, 0.664)
Na (0.762, 0.963, 0.336)
Na (0.963, 0.762, 0.836)
Ge (0.252, 0.457, 0.495)
Ge (0.457, 0.252, 0.995)
Ge (0.543, 0.748, 0.005)
Ge (0.748, 0.543, 0.505)
As (0.395, 0.605, 0.250)
As (0.605, 0.395, 0.750)


How do the records compare in final energy? In the order shown, they have -47.65, -61.98, -65.57, -18.92, -33.71, -33.78, -35.83, -18.46, -12.79, -5.85, -80.07, -24.34, -33.52 eV for the cell shown.